Entry 1:
# La2CN2O2 PBE-GGA optimized geometry
data_La2CN2O2
_space_group_name_H-M_alt 'F m m 2'
_space_group_IT_number 42
_space_group_name_Hall 'F 2 -2'
_cell_length_a 5.9378
_cell_length_b 12.5219
_cell_length_c 5.6287
_cell_angle_alpha 90.00
_cell_angle_beta 90.00
_cell_angle_gamma 90.00
loop_
_atom_site_label
_atom_site_type_symbol
_atom_site_fract_x
_atom_site_fract_y
_atom_site_fract_z
La1 La 0.0000 0.1508 0.0000
C1 C 0.0000 0.0000 0.4564
N1 N 0.1441 0.0000 0.6426
O1 O 0.2500 0.2500 0.2546
# Final energy ... -56.24 eV per formula unit

Entry 2:
# YCr4Cu PBE-GGA optimized geometry
data_YCr4Cu
_space_group_name_H-M_alt 'F -4 3 m'
_space_group_IT_number 216
_space_group_name_Hall 'F -4 2 3'
_cell_length_a 7.0498
_cell_length_b 7.0498
_cell_length_c 7.0498
_cell_angle_alpha 90.00
_cell_angle_beta 90.00
_cell_angle_gamma 90.00
loop_
_atom_site_label
_atom_site_type_symbol
_atom_site_fract_x
_atom_site_fract_y
_atom_site_fract_z
Y1 Y 0.0000 0.0000 0.0000
Cr1 Cr 0.1247 0.1247 0.6247
Cu1 Cu 0.2500 0.2500 0.2500
# Final energy ... -46.29 eV per formula unit

Entry 3:
# Ta2OsCl PBE-GGA optimized geometry
data_Ta2OsCl
_space_group_name_H-M_alt 'I -4 2 d'
_space_group_IT_number 122
_space_group_name_Hall 'I -4 2bw'
_cell_length_a 6.7346
_cell_length_b 6.7346
_cell_length_c 6.3903
_cell_angle_alpha 90.00
_cell_angle_beta 90.00
_cell_angle_gamma 90.00
loop_
_atom_site_label
_atom_site_type_symbol
_atom_site_fract_x
_atom_site_fract_y
_atom_site_fract_z
Ta1 Ta 0.2343 0.7500 0.1250
Os1 Os 0.0000 0.0000 0.5000
Cl1 Cl 0.0000 0.0000 0.0000
# E above lowest polymorph ... 670.8 meV/atom

Entry 4:
# TiNbIr PBE-GGA optimized geometry
data_TiNbIr
_space_group_name_H-M_alt 'P 1 m 1'
_space_group_IT_number 6
_cell_length_a 4.4321
_cell_length_b 4.4850
_cell_length_c 5.3666
_cell_angle_alpha 90.00
_cell_angle_beta 114.37
_cell_angle_gamma 90.00
loop_
_space_group_symop_operation_xyz
'x,y,z'
'x,-y,z'
loop_
_atom_site_label
_atom_site_type_symbol
_atom_site_fract_x
_atom_site_fract_y
_atom_site_fract_z
Ti1 Ti 0.0000 0.0000 0.0000
Ti2 Ti 0.1751 0.5000 0.3484
Nb1 Nb 0.3465 0.0000 0.6919
Nb2 Nb 0.6787 0.0000 0.3560
Ir1 Ir 0.5223 0.5000 0.0451
Ir2 Ir 0.8354 0.5000 0.6689
# E above lowest polymorph ... 0.0 meV/atom